Computed, not measured: crystalline RbSn2Ru at its relaxed geometry at the PBE level of DFT.

Results
total magnetic moment: 0.000 μB per atom
calculated formation energy: 0.389 eV per formula unit
uncorrected energy: -4.47 eV per atom
polymorph energy (0 for the lowest one): 0.0 meV/atom
DOS(E_F): 7.11 states/eV per cell

a = 6.8151 Å, b = 6.8151 Å, c = 14.5410 Å
α = 90.00°, β = 90.00°, γ = 90.00°
Fractional positions:
Rb (0.0000, 0.2500, 0.3750)
Rb (0.0000, 0.7500, 0.6250)
Rb (0.5000, 0.2500, 0.1250)
Rb (0.5000, 0.7500, 0.8750)
Sn (0.0000, 0.0000, 0.0000)
Sn (0.0000, 0.5000, 0.0000)
Sn (0.2500, 0.2500, 0.7500)
Sn (0.2500, 0.7500, 0.2500)
Sn (0.5000, 0.0000, 0.5000)
Sn (0.5000, 0.5000, 0.5000)
Sn (0.7500, 0.2500, 0.7500)
Sn (0.7500, 0.7500, 0.2500)
Ru (0.0000, 0.2500, 0.8750)
Ru (0.0000, 0.7500, 0.1250)
Ru (0.5000, 0.2500, 0.6250)
Ru (0.5000, 0.7500, 0.3750)

---

Computed, not measured: crystalline TbDy6Tm3Sc2 at its relaxed geometry at the PBE level of DFT.

Results
total magnetic moment: 0.000 μB per atom
calculated formation energy: 0.438 eV per formula unit
uncorrected energy: -4.82 eV per atom
DOS(E_F): 17.06 states/eV per cell

a = 6.0378 Å, b = 6.0378 Å, c = 11.5109 Å
α = 95.00°, β = 95.00°, γ = 119.95°
Fractional positions:
Tb (0.0000, 0.0000, 0.0000)
Dy (0.0827, 0.4184, 0.2464)
Dy (0.2531, 0.2531, 0.7536)
Dy (0.4184, 0.0827, 0.2464)
Dy (0.5816, 0.9173, 0.7536)
Dy (0.7469, 0.7469, 0.2464)
Dy (0.9173, 0.5816, 0.7536)
Tm (0.1669, 0.8331, 0.5000)
Tm (0.5000, 0.5000, 0.5000)
Tm (0.8331, 0.1669, 0.5000)
Sc (0.3334, 0.6666, 0.0000)
Sc (0.6666, 0.3334, 0.0000)

---

Computed, not measured: crystalline YV2Si2 at its relaxed geometry at the PBE level of DFT.

Results
total magnetic moment: 0.000 μB per atom
uncorrected energy: -7.27 eV per atom
polymorph energy (0 for the lowest one): 468.5 meV/atom
raw formation energy: -0.157 eV per atom
DOS(E_F): 5.53 states/eV per cell

a = 4.5927 Å, b = 4.5927 Å, c = 8.2775 Å
α = 90.00°, β = 90.00°, γ = 90.00°
Fractional positions:
Y (0.0000, 0.0000, 0.0000)
Y (0.5000, 0.5000, 0.5000)
V (0.0000, 0.0000, 0.3609)
V (0.0000, 0.0000, 0.6391)
V (0.5000, 0.5000, 0.1391)
V (0.5000, 0.5000, 0.8609)
Si (0.0000, 0.5000, 0.2500)
Si (0.0000, 0.5000, 0.7500)
Si (0.5000, 0.0000, 0.2500)
Si (0.5000, 0.0000, 0.7500)

---

Computed, not measured: crystalline ScBiPd4 at its relaxed geometry at the PBE level of DFT.

Results
total magnetic moment: 0.000 μB per atom
calculated formation energy: -3.334 eV per formula unit
uncorrected energy: -5.72 eV per atom
polymorph energy (0 for the lowest one): 0.0 meV/atom
DOS(E_F): 5.18 states/eV per cell

a = 4.9224 Å, b = 8.9055 Å, c = 4.9300 Å
α = 90.00°, β = 100.59°, γ = 90.00°
Fractional positions:
Sc (0.0000, 0.0000, 0.0000)
Sc (0.5000, 0.5000, 0.0000)
Bi (0.0000, 0.5000, 0.5000)
Bi (0.5000, 0.0000, 0.5000)
Pd (0.0000, 0.1641, 0.5000)
Pd (0.0000, 0.3319, 0.0000)
Pd (0.0000, 0.6681, 0.0000)
Pd (0.0000, 0.8359, 0.5000)
Pd (0.5000, 0.1681, 0.0000)
Pd (0.5000, 0.3359, 0.5000)
Pd (0.5000, 0.6641, 0.5000)
Pd (0.5000, 0.8319, 0.0000)

---

Computed, not measured: crystalline Hf2Ti3In at its relaxed geometry at the PBE level of DFT.

Results
total magnetic moment: 0.000 μB per atom
calculated formation energy: -0.087 eV per formula unit
uncorrected energy: -7.74 eV per atom
DOS(E_F): 10.18 states/eV per cell

a = 4.8983 Å, b = 9.0368 Å, c = 5.3669 Å
α = 90.00°, β = 90.00°, γ = 90.00°
Fractional positions:
Hf (0.0000, 0.0766, 0.0000)
Hf (0.0000, 0.9234, 0.5000)
Hf (0.5000, 0.2493, 0.8294)
Hf (0.5000, 0.7507, 0.3294)
Ti (0.0000, 0.2483, 0.4702)
Ti (0.0000, 0.4366, 0.0393)
Ti (0.0000, 0.5634, 0.5393)
Ti (0.0000, 0.7517, 0.9702)
Ti (0.5000, 0.0874, 0.3253)
Ti (0.5000, 0.9126, 0.8253)
In (0.5000, 0.4138, 0.3400)
In (0.5000, 0.5862, 0.8400)

---

Computed, not measured: crystalline TbPm2HoAs4 at its relaxed geometry at the PBE level of DFT.

Results
total magnetic moment: 0.000 μB per atom
calculated formation energy: -12.222 eV per formula unit
uncorrected energy: -6.19 eV per atom
DOS(E_F): 0.83 states/eV per cell

a = 7.2354 Å, b = 4.1820 Å, c = 7.2388 Å
α = 90.00°, β = 109.47°, γ = 90.00°
Fractional positions:
Tb (0.0000, 0.0000, 0.0000)
Pm (0.5000, 0.0000, 0.5000)
Pm (0.5000, 0.5000, 0.0000)
Ho (0.0000, 0.5000, 0.5000)
As (0.2423, 0.0000, 0.7464)
As (0.2431, 0.5000, 0.2488)
As (0.7569, 0.5000, 0.7512)
As (0.7577, 0.0000, 0.2536)

---

Computed, not measured: crystalline Ho2GaPd6 at its relaxed geometry at the PBE level of DFT.

Results
total magnetic moment: 0.000 μB per atom
calculated formation energy: -5.278 eV per formula unit
uncorrected energy: -5.40 eV per atom
DOS(E_F): 3.48 states/eV per cell

a = 7.7290 Å, b = 7.7290 Å, c = 3.5787 Å
α = 103.34°, β = 103.34°, γ = 58.53°
Fractional positions:
Ho (0.1511, 0.1511, 0.1544)
Ho (0.8489, 0.8489, 0.8456)
Ga (0.5000, 0.5000, 0.5000)
Pd (0.1299, 0.5381, 0.3328)
Pd (0.2700, 0.7300, 0.0000)
Pd (0.4619, 0.8701, 0.6672)
Pd (0.5381, 0.1299, 0.3328)
Pd (0.7300, 0.2700, 0.0000)
Pd (0.8701, 0.4619, 0.6672)

---

Computed, not measured: crystalline TaAs2Ru at its relaxed geometry at the PBE level of DFT.

Results
total magnetic moment: 0.000 μB per atom
calculated formation energy: -0.819 eV per formula unit
uncorrected energy: -7.81 eV per atom
polymorph energy (0 for the lowest one): 6.5 meV/atom
DOS(E_F): 6.17 states/eV per cell

a = 4.1695 Å, b = 4.1827 Å, c = 8.4072 Å
α = 90.00°, β = 90.00°, γ = 90.00°
Fractional positions:
Ta (0.0000, 0.0000, 0.0000)
Ta (0.5000, 0.5000, 0.0000)
As (0.0000, 0.0000, 0.4006)
As (0.0000, 0.5000, 0.7702)
As (0.5000, 0.0000, 0.7702)
As (0.5000, 0.5000, 0.4006)
Ru (0.0000, 0.5000, 0.2254)
Ru (0.5000, 0.0000, 0.2254)

---

Computed, not measured: crystalline SrOs2Br at its relaxed geometry at the PBE level of DFT.

Results
total magnetic moment: 0.000 μB per atom
uncorrected energy: -4.66 eV per atom
polymorph energy (0 for the lowest one): 1713.9 meV/atom
raw formation energy: 1.789 eV per atom
DOS(E_F): 16.61 states/eV per cell

a = 6.7677 Å, b = 6.7677 Å, c = 6.7677 Å
α = 90.00°, β = 90.00°, γ = 90.00°
Fractional positions:
Sr (0.0000, 0.0000, 0.0000)
Sr (0.0000, 0.5000, 0.5000)
Sr (0.5000, 0.0000, 0.5000)
Sr (0.5000, 0.5000, 0.0000)
Os (0.2500, 0.2500, 0.2500)
Os (0.2500, 0.2500, 0.7500)
Os (0.2500, 0.7500, 0.2500)
Os (0.2500, 0.7500, 0.7500)
Os (0.7500, 0.2500, 0.2500)
Os (0.7500, 0.2500, 0.7500)
Os (0.7500, 0.7500, 0.2500)
Os (0.7500, 0.7500, 0.7500)
Br (0.0000, 0.0000, 0.5000)
Br (0.0000, 0.5000, 0.0000)
Br (0.5000, 0.0000, 0.0000)
Br (0.5000, 0.5000, 0.5000)

---

Computed, not measured: crystalline UV2Ga at its relaxed geometry at the PBE level of DFT.

Results
total magnetic moment: 0.365 μB per atom
calculated formation energy: -0.138 eV per formula unit
uncorrected energy: -8.17 eV per atom
polymorph energy (0 for the lowest one): 0.0 meV/atom
DOS(E_F): 5.95 states/eV per cell

a = 4.3297 Å, b = 4.3297 Å, c = 3.3517 Å
α = 90.00°, β = 90.00°, γ = 90.00°
Fractional positions:
U (0.0000, 0.0000, 0.0000)
V (0.0000, 0.5000, 0.5000)
V (0.5000, 0.0000, 0.5000)
Ga (0.5000, 0.5000, 0.0000)

---

Computed, not measured: crystalline Nd2Zn3Cu12Pt at its relaxed geometry at the PBE level of DFT.

Results
total magnetic moment: 0.000 μB per atom
calculated formation energy: 1.170 eV per formula unit
uncorrected energy: -3.74 eV per atom
DOS(E_F): 7.14 states/eV per cell

a = 9.7955 Å, b = 9.7955 Å, c = 9.7955 Å
α = 36.64°, β = 36.64°, γ = 36.64°
Fractional positions:
Nd (0.1488, 0.1488, 0.1488)
Nd (0.8512, 0.8512, 0.8512)
Zn (0.0000, 0.5000, 0.5000)
Zn (0.5000, 0.0000, 0.5000)
Zn (0.5000, 0.5000, 0.0000)
Cu (0.0811, 0.0811, 0.6928)
Cu (0.0811, 0.6928, 0.0811)
Cu (0.1382, 0.5721, 0.5721)
Cu (0.3072, 0.9189, 0.9189)
Cu (0.4279, 0.4279, 0.8618)
Cu (0.4279, 0.8618, 0.4279)
Cu (0.5721, 0.1382, 0.5721)
Cu (0.5721, 0.5721, 0.1382)
Cu (0.6928, 0.0811, 0.0811)
Cu (0.8618, 0.4279, 0.4279)
Cu (0.9189, 0.3072, 0.9189)
Cu (0.9189, 0.9189, 0.3072)
Pt (0.5000, 0.5000, 0.5000)

---

Computed, not measured: crystalline AcTi2N at its relaxed geometry at the PBE level of DFT.

Results
total magnetic moment: 0.000 μB per atom
uncorrected energy: -7.49 eV per atom
raw formation energy: -0.434 eV per atom
DOS(E_F): 10.91 states/eV per cell

a = 3.2318 Å, b = 3.2318 Å, c = 25.6271 Å
α = 90.00°, β = 90.00°, γ = 120.00°
Fractional positions:
Ac (0.0000, 0.0000, 0.0000)
Ac (0.3333, 0.6667, 0.6667)
Ac (0.6667, 0.3333, 0.3333)
Ti (0.0000, 0.0000, 0.1267)
Ti (0.0000, 0.0000, 0.8733)
Ti (0.3333, 0.6667, 0.5400)
Ti (0.3333, 0.6667, 0.7934)
Ti (0.6667, 0.3333, 0.2066)
Ti (0.6667, 0.3333, 0.4600)
N (0.0000, 0.0000, 0.5000)
N (0.3333, 0.6667, 0.1667)
N (0.6667, 0.3333, 0.8333)

---

Computed, not measured: crystalline SrSiNiAu2 at its relaxed geometry at the PBE level of DFT.

Results
total magnetic moment: 0.045 μB per atom
uncorrected energy: -3.45 eV per atom
raw formation energy: 0.440 eV per atom
DOS(E_F): 4.83 states/eV per cell

a = 4.8740 Å, b = 4.8740 Å, c = 5.0740 Å
α = 90.00°, β = 90.00°, γ = 90.00°
Fractional positions:
Sr (0.0000, 0.0000, 0.0000)
Si (0.5000, 0.5000, 0.0000)
Ni (0.0000, 0.0000, 0.5000)
Au (0.0000, 0.5000, 0.5000)
Au (0.5000, 0.0000, 0.5000)

---

Computed, not measured: crystalline Tb2DyHfN4 at its relaxed geometry at the PBE level of DFT.

Results
total magnetic moment: 0.000 μB per atom
uncorrected energy: -8.87 eV per atom
raw formation energy: -1.735 eV per atom
DOS(E_F): 1.06 states/eV per cell

a = 5.8981 Å, b = 3.3959 Å, c = 5.9048 Å
α = 90.00°, β = 109.19°, γ = 90.00°
Fractional positions:
Tb (0.0000, 0.0000, 0.0000)
Tb (0.5000, 0.5000, 0.0000)
Dy (0.0000, 0.5000, 0.5000)
Hf (0.5000, 0.0000, 0.5000)
N (0.2603, 0.0000, 0.7374)
N (0.2683, 0.5000, 0.2694)
N (0.7317, 0.5000, 0.7306)
N (0.7397, 0.0000, 0.2626)

---

Computed, not measured: crystalline SrSi3Pt2 at its relaxed geometry at the PBE level of DFT.

Results
total magnetic moment: 0.000 μB per atom
uncorrected energy: -5.69 eV per atom
raw formation energy: -0.680 eV per atom
DOS(E_F): 2.99 states/eV per cell

a = 8.4207 Å, b = 8.4207 Å, c = 9.8149 Å
α = 104.49°, β = 104.49°, γ = 28.70°
Fractional positions:
Sr (0.0000, 0.0000, 0.0000)
Sr (0.1554, 0.1554, 0.7059)
Sr (0.8446, 0.8446, 0.2941)
Si (0.0452, 0.0452, 0.3718)
Si (0.2186, 0.2186, 0.3722)
Si (0.3479, 0.3479, 0.0577)
Si (0.3665, 0.3665, 0.8186)
Si (0.5000, 0.5000, 0.5000)
Si (0.6335, 0.6335, 0.1814)
Si (0.6521, 0.6521, 0.9423)
Si (0.7814, 0.7814, 0.6278)
Si (0.9548, 0.9548, 0.6282)
Pt (0.2007, 0.2007, 0.1092)
Pt (0.3487, 0.3487, 0.5604)
Pt (0.4899, 0.4899, 0.2371)
Pt (0.5101, 0.5101, 0.7629)
Pt (0.6513, 0.6513, 0.4396)
Pt (0.7993, 0.7993, 0.8908)

---

Computed, not measured: crystalline Ac4TlOs at its relaxed geometry at the PBE level of DFT.

Results
total magnetic moment: 0.000 μB per atom
calculated formation energy: -0.876 eV per formula unit
uncorrected energy: -5.15 eV per atom
polymorph energy (0 for the lowest one): 0.0 meV/atom
DOS(E_F): 11.96 states/eV per cell

a = 6.7240 Å, b = 7.5186 Å, c = 8.7660 Å
α = 90.00°, β = 95.40°, γ = 90.00°
Fractional positions:
Ac (0.1020, 0.2500, 0.0819)
Ac (0.1527, 0.7500, 0.3645)
Ac (0.3934, 0.5043, 0.7849)
Ac (0.3934, 0.9957, 0.7849)
Ac (0.6066, 0.0043, 0.2151)
Ac (0.6066, 0.4957, 0.2151)
Ac (0.8473, 0.2500, 0.6355)
Ac (0.8980, 0.7500, 0.9181)
Tl (0.2920, 0.2500, 0.4498)
Tl (0.7080, 0.7500, 0.5502)
Os (0.3140, 0.7500, 0.0574)
Os (0.6860, 0.2500, 0.9426)

---

Computed, not measured: crystalline Y2TlFeH at its relaxed geometry at the PBE level of DFT.

Results
total magnetic moment: 0.249 μB per atom
uncorrected energy: -5.61 eV per atom
DOS(E_F): 4.97 states/eV per cell

a = 5.0880 Å, b = 5.0880 Å, c = 3.6934 Å
α = 90.00°, β = 90.00°, γ = 90.00°
Fractional positions:
Y (0.0000, 0.5000, 0.0000)
Y (0.5000, 0.0000, 0.0000)
Tl (0.0000, 0.0000, 0.5000)
Fe (0.5000, 0.5000, 0.5000)
H (0.5000, 0.5000, 0.0000)

---

Computed, not measured: crystalline LiHf2BeP at its relaxed geometry at the PBE level of DFT.

Results
total magnetic moment: 0.000 μB per atom
calculated formation energy: 3.235 eV per formula unit
uncorrected energy: -5.54 eV per atom
DOS(E_F): 2.53 states/eV per cell

a = 4.6033 Å, b = 4.6033 Å, c = 3.8964 Å
α = 90.00°, β = 90.00°, γ = 90.00°
Fractional positions:
Li (0.0000, 0.0000, 0.0000)
Hf (0.0000, 0.5000, 0.0000)
Hf (0.5000, 0.0000, 0.0000)
Be (0.5000, 0.5000, 0.5000)
P (0.0000, 0.0000, 0.5000)

---

Computed, not measured: crystalline Cs2Ca3ScF12 at its relaxed geometry at the PBE level of DFT.

Results
total magnetic moment: 0.071 μB per atom
uncorrected energy: -5.47 eV per atom
raw formation energy: -3.440 eV per atom
DOS(E_F): 19.49 states/eV per cell

a = 8.0940 Å, b = 8.0940 Å, c = 8.0940 Å
α = 60.03°, β = 60.03°, γ = 60.03°
Fractional positions:
Cs (0.1257, 0.1257, 0.1257)
Cs (0.8743, 0.8743, 0.8743)
Ca (0.0000, 0.5000, 0.5000)
Ca (0.5000, 0.0000, 0.5000)
Ca (0.5000, 0.5000, 0.0000)
Sc (0.5000, 0.5000, 0.5000)
F (0.1625, 0.1625, 0.5722)
F (0.1625, 0.5722, 0.1625)
F (0.2037, 0.5611, 0.5611)
F (0.4278, 0.8375, 0.8375)
F (0.4389, 0.4389, 0.7963)
F (0.4389, 0.7963, 0.4389)
F (0.5611, 0.2037, 0.5611)
F (0.5611, 0.5611, 0.2037)
F (0.5722, 0.1625, 0.1625)
F (0.7963, 0.4389, 0.4389)
F (0.8375, 0.4278, 0.8375)
F (0.8375, 0.8375, 0.4278)

---

Computed, not measured: crystalline LaTh2Fe at its relaxed geometry at the PBE level of DFT.

Results
total magnetic moment: 0.000 μB per atom
calculated formation energy: -0.181 eV per formula unit
uncorrected energy: -7.10 eV per atom
polymorph energy (0 for the lowest one): 0.0 meV/atom
DOS(E_F): 18.30 states/eV per cell

a = 3.7049 Å, b = 12.0869 Å, c = 9.7958 Å
α = 90.00°, β = 90.00°, γ = 90.00°
Fractional positions:
La (0.0000, 0.0893, 0.2500)
La (0.0000, 0.9107, 0.7500)
La (0.5000, 0.4107, 0.7500)
La (0.5000, 0.5893, 0.2500)
Th (0.0000, 0.3605, 0.0698)
Th (0.0000, 0.3605, 0.4302)
Th (0.0000, 0.6395, 0.5698)
Th (0.0000, 0.6395, 0.9302)
Th (0.5000, 0.1395, 0.5698)
Th (0.5000, 0.1395, 0.9302)
Th (0.5000, 0.8605, 0.0698)
Th (0.5000, 0.8605, 0.4302)
Fe (0.0000, 0.1954, 0.7500)
Fe (0.0000, 0.8046, 0.2500)
Fe (0.5000, 0.3046, 0.2500)
Fe (0.5000, 0.6954, 0.7500)